[1]
{"formula": "Nb6Re2Mo", "functional": "PBE-GGA", "state": "relaxed", "dos_at_fermi_per_ev_cell": 7.75, "spacegroup": "C2/m", "e_tot_ev_per_fu": -93.36, "lattice_angstrom": [[-0.3215, 2.9289, -0.8536], [-5.6935, 1.2034, 0.7612], [-0.3678, 4.1230, 8.7735]], "species": ["Nb", "Nb", "Nb", "Nb", "Nb", "Nb", "Re", "Re", "Mo"], "fractional_positions": [[0.7569, 0.3762, 0.1100], [0.2431, 0.6238, 0.8900], [0.3597, 0.7445, 0.5360], [0.0403, 0.6631, 0.2564], [0.9597, 0.3369, 0.7436], [0.6403, 0.2555, 0.4640], [0.3312, 0.0532, 0.2845], [0.6688, 0.9468, 0.7155], [0.0000, 0.0000, 0.0000]]}

[2]
{"formula": "Nb2ReMo4", "functional": "PBE-GGA", "state": "relaxed", "dos_at_fermi_per_ev_cell": 5.63, "spacegroup": "C2/m", "e_tot_ev_per_fu": -73.91, "lattice_angstrom": [[2.6413, 0.0000, 0.0000], [0.0000, 7.1955, -0.1402], [-1.3206, -3.6372, 6.2435]], "species": ["Nb", "Nb", "Re", "Mo", "Mo", "Mo", "Mo"], "fractional_positions": [[0.7853, 0.8540, 0.5706], [0.2147, 0.1460, 0.4294], [0.0000, 0.0000, 0.0000], [0.9293, 0.2939, 0.8586], [0.0707, 0.7061, 0.1414], [0.6388, 0.4164, 0.2776], [0.3612, 0.5836, 0.7224]]}

[3]
{"formula": "Nb5ReMo4", "functional": "PBE-GGA", "state": "relaxed", "dos_at_fermi_per_ev_cell": 4.91, "spacegroup": "P4/mmm", "e_tot_ev_per_fu": -107.88, "lattice_angstrom": [[-0.6326, 0.8785, -3.0413], [2.4166, -1.8694, -1.0426], [-10.2083, -12.3852, -1.4540]], "species": ["Nb", "Nb", "Nb", "Nb", "Nb", "Re", "Mo", "Mo", "Mo", "Mo"], "fractional_positions": [[0.5000, 0.5000, 0.0991], [0.5000, 0.5000, 0.2994], [0.5000, 0.5000, 0.5000], [0.5000, 0.5000, 0.7006], [0.5000, 0.5000, 0.9009], [0.0000, 0.0000, 0.0000], [0.0000, 0.0000, 0.1996], [0.0000, 0.0000, 0.3999], [0.0000, 0.0000, 0.6001], [0.0000, 0.0000, 0.8004]]}

[4]
{"formula": "NbReMo", "functional": "PBE-GGA", "state": "relaxed", "dos_at_fermi_per_ev_cell": 2.10, "spacegroup": "I4mm", "e_tot_ev_per_fu": -33.70, "lattice_angstrom": [[-1.7591, 1.5270, -2.1852], [-0.2922, -2.7127, -1.6604], [-2.9540, -0.4804, 4.3764]], "species": ["Re", "Mo", "Nb"], "fractional_positions": [[0.2809, 0.2809, 0.5619], [0.6199, 0.6199, 0.2397], [0.9492, 0.9492, 0.8984]]}